# 1
! TiSBrN2 | Alexandria via LeMat-Bulk | PBE | relaxed; values from VASP
! E above lowest polymorph: 1.181 eV/atom
! Calculated total energy: -21.710 eV per cell
! Symmetry: P4/mmm (123)
! Formation energy (no corrections): 1.727 eV/atom
&SYSTEM
  ibrav = 0, nat = 5, ntyp = 4
/
ATOMIC_SPECIES
Ti 47.87 Ti.upf
N 14.01 N.upf
Br 79.90 Br.upf
S 32.06 S.upf
CELL_PARAMETERS angstrom
3.882 0.000 0.000
0.000 3.882 0.000
0.000 0.000 4.755
ATOMIC_POSITIONS angstrom
Ti 1.941 1.941 2.378
N 1.941 0.000 0.000
N 0.000 1.941 0.000
Br 0.000 0.000 0.000
S 0.000 0.000 2.378

# 2
! TiS2BrN | Alexandria via LeMat-Bulk | PBE | relaxed; values from VASP
! E above lowest polymorph: 1.087 eV/atom
! Calculated total energy: -19.524 eV per cell
! Symmetry: P4/mmm (123)
! Formation energy (no corrections): 1.325 eV/atom
&SYSTEM
  ibrav = 0, nat = 5, ntyp = 4
/
ATOMIC_SPECIES
N 14.01 N.upf
Br 79.90 Br.upf
S 32.06 S.upf
Ti 47.87 Ti.upf
CELL_PARAMETERS angstrom
-1.318 4.216 -2.042
-4.070 0.020 2.668
1.766 1.850 2.681
ATOMIC_POSITIONS angstrom
N 0.883 0.925 1.340
Br 0.000 0.000 0.000
S -2.035 0.010 1.334
S -0.659 2.108 -1.021
Ti -1.811 3.043 1.653

# 3
! TlSBrN2 | Alexandria via LeMat-Bulk | PBE | relaxed; values from VASP
! E above lowest polymorph: 0.013 eV/atom
! Calculated total energy: -15.230 eV per cell
! Symmetry: P4/mmm (123)
! Formation energy (no corrections): 1.917 eV/atom
&SYSTEM
  ibrav = 0, nat = 5, ntyp = 4
/
ATOMIC_SPECIES
N 14.01 N.upf
Br 79.90 Br.upf
Tl 204.38 Tl.upf
S 32.06 S.upf
CELL_PARAMETERS angstrom
-4.192 -0.681 -1.090
0.670 -4.331 0.130
-1.301 -0.050 5.035
ATOMIC_POSITIONS angstrom
N 0.335 -2.166 0.065
N -2.096 -0.341 -0.545
Br 0.000 0.000 0.000
Tl -2.411 -2.531 2.037
S -0.650 -0.025 2.517

Question: What is the formula in the second record?
Answer: TiS2BrN